[1]
Density functional theory data (PBE) for an optimized crystal structure of BaCrCl2.

Summary:
Formation energy (no corrections) ... -3.7 eV per formula unit
Energy above the most stable polymorph in this dataset ... 40 meV/atom

abc: 4.270 4.270 6.317
angles: 90.00 90.00 89.93
Last column: magnetic moment on the atom in μB.
Atoms (fractional coordinates):
Cr 0.000 0.000 0.409  4.34
Ba 0.500 0.500 0.794  0.14
Cl 0.000 0.000 0.989  0.04
Cl 0.500 0.500 0.307  0.08



[2]
Density functional theory data (PBE) for an optimized crystal structure of La2SbIr.

Summary:
Formation energy (no corrections) ... -2.4 eV per formula unit

abc: 8.023 8.023 8.023
angles: 32.85 32.85 32.85
Atoms (fractional coordinates):
Ir 0.780 0.780 0.780
La 0.043 0.043 0.043
La 0.211 0.211 0.211
Sb 0.467 0.467 0.467